# 1
# TiPtC2, relaxed, DFT PBE
data_TiPtC2
_chemical_formula_sum 'Ti4 Pt4 C8'
_cell_length_a 4.625
_cell_length_b 4.625
_cell_length_c 9.828
_cell_angle_alpha 90.00
_cell_angle_beta 90.00
_cell_angle_gamma 90.00
_space_group_name_H-M_alt 'I -4 2 d'
_space_group_IT_number 122
_space_group_name_Hall 'I -4 2bw'
loop_
_atom_site_label
_atom_site_type_symbol
_atom_site_fract_x
_atom_site_fract_y
_atom_site_fract_z
Ti1 Ti 0.000 0.000 0.000
Pt1 Pt 0.000 0.000 0.500
C1 C 0.241 0.250 0.625
# Density of states at the Fermi level in states/eV per cell: 10.0
# Calculated total energy in eV per cell: -122.26
# E_form in eV/atom: 0.4548



# 2
# BaLi2Ag, relaxed, DFT PBE
data_BaLi2Ag
_chemical_formula_sum 'Ba2 Li4 Ag2'
_cell_length_a 5.497
_cell_length_b 5.497
_cell_length_c 7.899
_cell_angle_alpha 90.00
_cell_angle_beta 90.00
_cell_angle_gamma 90.00
_space_group_name_H-M_alt 'I -4 m 2'
_space_group_IT_number 119
_space_group_name_Hall 'I -4 -2'
loop_
_atom_site_label
_atom_site_type_symbol
_atom_site_fract_x
_atom_site_fract_y
_atom_site_fract_z
Ba1 Ba 0.000 0.000 0.000
Li1 Li 0.000 0.000 0.500
Li2 Li 0.000 0.500 0.750
Ag1 Ag 0.000 0.500 0.250
# Density of states at the Fermi level in states/eV per cell: 5.7
# Calculated total energy in eV per cell: -17.11
# Distance to the lowest polymorph of the same formula in eV/atom: 0.146
# E_form in eV/atom: 0.0114



# 3
# Ce2Sm2Ge3, relaxed, DFT PBE
data_Ce2Sm2Ge3
_chemical_formula_sum 'Ce4 Sm4 Ge6'
_cell_length_a 13.759
_cell_length_b 4.277
_cell_length_c 7.286
_cell_angle_alpha 90.00
_cell_angle_beta 100.08
_cell_angle_gamma 90.00
_space_group_name_H-M_alt 'C 1 2/m 1'
_space_group_IT_number 12
_space_group_name_Hall '-C 2y'
loop_
_atom_site_label
_atom_site_type_symbol
_atom_site_fract_x
_atom_site_fract_y
_atom_site_fract_z
Ce1 Ce 0.125 0.000 0.377
Sm1 Sm 0.130 0.500 0.870
Ge1 Ge 0.000 0.500 0.500
Ge2 Ge 0.247 0.500 0.251
# Density of states at the Fermi level in states/eV per cell: 16.3
# Calculated total energy in eV per cell: -78.02
# E_form in eV/atom: -0.5501



# 4
# GaSiO3, relaxed, DFT PBE
data_GaSiO3
_chemical_formula_sum 'Ga1 Si1 O3'
_cell_length_a 3.787
_cell_length_b 3.787
_cell_length_c 3.787
_cell_angle_alpha 90.00
_cell_angle_beta 90.00
_cell_angle_gamma 90.00
_space_group_name_H-M_alt 'P m -3 m'
_space_group_IT_number 221
_space_group_name_Hall '-P 4 2 3'
loop_
_atom_site_label
_atom_site_type_symbol
_atom_site_fract_x
_atom_site_fract_y
_atom_site_fract_z
Ga1 Ga 0.000 0.000 0.000
Si1 Si 0.500 0.500 0.500
O1 O 0.000 0.000 0.500
# Density of states at the Fermi level in states/eV per cell: 3.2
# Calculated total energy in eV per cell: -26.27
# Uncorrected formation energy in eV/atom: -0.588